<w>
This record from Alexandria via LeMat-Bulk describes crystalline TiTe2RuPt at its relaxed geometry. The functional is PBE.

Structure (CIF):
```
data_TiTe2RuPt
_cell_length_a 5.1146
_cell_length_b 5.1146
_cell_length_c 4.5204
_cell_angle_alpha 90.00
_cell_angle_beta 90.00
_cell_angle_gamma 90.00
_symmetry_space_group_name_H-M 'P 1'
_symmetry_Int_Tables_number 1
loop_
_symmetry_equiv_pos_as_xyz
'x,y,z'
loop_
_atom_site_label
_atom_site_fract_x
_atom_site_fract_y
_atom_site_fract_z
Ti1 0.0000 0.0000 0.0000
Te1 0.0000 0.5000 0.5000
Te2 0.5000 0.0000 0.5000
Ru1 0.0000 0.0000 0.5000
Pt1 0.5000 0.5000 0.0000
```

=====

<x>
This record from Alexandria via LeMat-Bulk describes crystalline TiTe2RuPt at its relaxed geometry. The functional is PBE.

Structure (CIF):
```
data_TiTe2RuPt
_cell_length_a 5.1834
_cell_length_b 5.1834
_cell_length_c 4.7474
_cell_angle_alpha 90.00
_cell_angle_beta 90.00
_cell_angle_gamma 90.00
_symmetry_space_group_name_H-M 'P 1'
_symmetry_Int_Tables_number 1
loop_
_symmetry_equiv_pos_as_xyz
'x,y,z'
loop_
_atom_site_label
_atom_site_fract_x
_atom_site_fract_y
_atom_site_fract_z
Ti1 0.0000 0.0000 0.0000
Te1 0.0000 0.5000 0.0000
Te2 0.5000 0.0000 0.0000
Ru1 0.5000 0.5000 0.5000
Pt1 0.0000 0.0000 0.5000
```

=====

Most stable one: <w>, least stable one: <x>.

=====

<w>
This record from Alexandria via LeMat-Bulk describes crystalline Th4Ru2Pt at its relaxed geometry. The functional is PBE.

Structure (CIF):
```
data_Th4Ru2Pt
_cell_length_a 6.9814
_cell_length_b 6.9814
_cell_length_c 13.7275
_cell_angle_alpha 90.00
_cell_angle_beta 90.00
_cell_angle_gamma 146.34
_symmetry_space_group_name_H-M 'P 1'
_symmetry_Int_Tables_number 1
loop_
_symmetry_equiv_pos_as_xyz
'x,y,z'
loop_
_atom_site_label
_atom_site_fract_x
_atom_site_fract_y
_atom_site_fract_z
Th1 0.0000 0.0000 0.0000
Th2 0.0000 0.0000 0.5000
Th3 0.2730 0.7270 0.6201
Th4 0.2730 0.7270 0.8799
Th5 0.4488 0.5512 0.2500
Th6 0.5512 0.4488 0.7500
Th7 0.7270 0.2730 0.1201
Th8 0.7270 0.2730 0.3799
Ru1 0.3687 0.6313 0.0632
Ru2 0.3687 0.6313 0.4368
Ru3 0.6313 0.3687 0.5632
Ru4 0.6313 0.3687 0.9368
Pt1 0.1106 0.8894 0.2500
Pt2 0.8894 0.1106 0.7500
```

=====

<x>
This record from Alexandria via LeMat-Bulk describes crystalline Th4Ru2Pt at its relaxed geometry. The functional is PBE.

Structure (CIF):
```
data_Th4Ru2Pt
_cell_length_a 7.7131
_cell_length_b 7.7131
_cell_length_c 7.7131
_cell_angle_alpha 108.27
_cell_angle_beta 108.27
_cell_angle_gamma 111.89
_symmetry_space_group_name_H-M 'P 1'
_symmetry_Int_Tables_number 1
loop_
_symmetry_equiv_pos_as_xyz
'x,y,z'
loop_
_atom_site_label
_atom_site_fract_x
_atom_site_fract_y
_atom_site_fract_z
Th1 0.0207 0.3860 0.2550
Th2 0.1309 0.7657 0.7450
Th3 0.1360 0.2707 0.7550
Th4 0.2343 0.9793 0.3653
Th5 0.5157 0.3809 0.2450
Th6 0.6140 0.8691 0.6347
Th7 0.6191 0.8640 0.1347
Th8 0.7293 0.4843 0.8653
Ru1 0.2305 0.6250 0.1055
Ru2 0.3750 0.4805 0.6055
Ru3 0.5195 0.1250 0.8945
Ru4 0.8750 0.7695 0.3945
Pt1 0.0000 0.0000 0.0000
Pt2 0.7500 0.2500 0.5000
```

=====

Most stable one: <x>, least stable one: <w>.

=====

<w>
This record from Alexandria via LeMat-Bulk describes crystalline Ti3RuPt at its relaxed geometry. The functional is PBE.

Structure (CIF):
```
data_Ti3RuPt
_cell_length_a 4.7051
_cell_length_b 4.7051
_cell_length_c 4.7051
_cell_angle_alpha 90.00
_cell_angle_beta 90.00
_cell_angle_gamma 90.00
_symmetry_space_group_name_H-M 'P 1'
_symmetry_Int_Tables_number 1
loop_
_symmetry_equiv_pos_as_xyz
'x,y,z'
loop_
_atom_site_label
_atom_site_fract_x
_atom_site_fract_y
_atom_site_fract_z
Ti1 0.0000 0.0000 0.5000
Ti2 0.0000 0.5000 0.0000
Ti3 0.5000 0.0000 0.0000
Ru1 0.5000 0.5000 0.5000
Pt1 0.0000 0.0000 0.0000
```

=====

<x>
This record from Alexandria via LeMat-Bulk describes crystalline Ti3RuPt at its relaxed geometry. The functional is PBE.

Structure (CIF):
```
data_Ti3RuPt
_cell_length_a 4.6086
_cell_length_b 4.6086
_cell_length_c 4.6086
_cell_angle_alpha 90.00
_cell_angle_beta 90.00
_cell_angle_gamma 90.00
_symmetry_space_group_name_H-M 'P 1'
_symmetry_Int_Tables_number 1
loop_
_symmetry_equiv_pos_as_xyz
'x,y,z'
loop_
_atom_site_label
_atom_site_fract_x
_atom_site_fract_y
_atom_site_fract_z
Ti1 0.0000 0.0000 0.5000
Ti2 0.0000 0.5000 0.0000
Ti3 0.5000 0.0000 0.0000
Ru1 0.0000 0.0000 0.0000
Pt1 0.5000 0.5000 0.5000
```

=====

Most stable one: <x>, least stable one: <w>.

=====

<w>
This record from Alexandria via LeMat-Bulk describes crystalline Tl2RuPt at its relaxed geometry. The functional is PBE.

Structure (CIF):
```
data_Tl2RuPt
_cell_length_a 5.6369
_cell_length_b 5.6369
_cell_length_c 5.6369
_cell_angle_alpha 138.54
_cell_angle_beta 138.54
_cell_angle_gamma 60.08
_symmetry_space_group_name_H-M 'P 1'
_symmetry_Int_Tables_number 1
loop_
_symmetry_equiv_pos_as_xyz
'x,y,z'
loop_
_atom_site_label
_atom_site_fract_x
_atom_site_fract_y
_atom_site_fract_z
Tl1 0.0000 0.0000 0.0000
Tl2 0.7500 0.2500 0.5000
Ru1 0.5000 0.5000 0.0000
Pt1 0.2500 0.7500 0.5000
```

=====

<x>
This record from Alexandria via LeMat-Bulk describes crystalline Tl2RuPt at its relaxed geometry. The functional is PBE.

Structure (CIF):
```
data_Tl2RuPt
_cell_length_a 8.8322
_cell_length_b 8.8322
_cell_length_c 8.8322
_cell_angle_alpha 21.01
_cell_angle_beta 21.01
_cell_angle_gamma 21.01
_symmetry_space_group_name_H-M 'P 1'
_symmetry_Int_Tables_number 1
loop_
_symmetry_equiv_pos_as_xyz
'x,y,z'
loop_
_atom_site_label
_atom_site_fract_x
_atom_site_fract_y
_atom_site_fract_z
Tl1 0.2484 0.2484 0.2484
Tl2 0.7516 0.7516 0.7516
Ru1 0.5000 0.5000 0.5000
Pt1 0.0000 0.0000 0.0000
```

=====

<y>
This record from Alexandria via LeMat-Bulk describes crystalline Tl2RuPt at its relaxed geometry. The functional is PBE.

Structure (CIF):
```
data_Tl2RuPt
_cell_length_a 4.5657
_cell_length_b 3.4315
_cell_length_c 5.3143
_cell_angle_alpha 90.00
_cell_angle_beta 110.55
_cell_angle_gamma 90.00
_symmetry_space_group_name_H-M 'P 1'
_symmetry_Int_Tables_number 1
loop_
_symmetry_equiv_pos_as_xyz
'x,y,z'
loop_
_atom_site_label
_atom_site_fract_x
_atom_site_fract_y
_atom_site_fract_z
Tl1 0.0000 0.0000 0.0000
Tl2 0.0000 0.5000 0.5000
Ru1 0.5000 0.0000 0.5000
Pt1 0.5000 0.5000 0.0000
```

=====

<z>
This record from Alexandria via LeMat-Bulk describes crystalline Tl2RuPt at its relaxed geometry. The functional is PBE.

Structure (CIF):
```
data_Tl2RuPt
_cell_length_a 9.8185
_cell_length_b 9.8185
_cell_length_c 9.8185
_cell_angle_alpha 18.33
_cell_angle_beta 18.33
_cell_angle_gamma 18.33
_symmetry_space_group_name_H-M 'P 1'
_symmetry_Int_Tables_number 1
loop_
_symmetry_equiv_pos_as_xyz
'x,y,z'
loop_
_atom_site_label
_atom_site_fract_x
_atom_site_fract_y
_atom_site_fract_z
Tl1 0.0000 0.0000 0.0000
Tl2 0.2313 0.2313 0.2313
Ru1 0.4854 0.4854 0.4854
Pt1 0.7488 0.7488 0.7488
```

=====

Most stable one: <y>, least stable one: <z>.

=====

<w>
This record from Alexandria via LeMat-Bulk describes crystalline Tl2RuPt at its relaxed geometry. The functional is PBE.

Structure (CIF):
```
data_Tl2RuPt
_cell_length_a 4.7028
_cell_length_b 4.7028
_cell_length_c 5.4366
_cell_angle_alpha 103.09
_cell_angle_beta 103.09
_cell_angle_gamma 41.80
_symmetry_space_group_name_H-M 'P 1'
_symmetry_Int_Tables_number 1
loop_
_symmetry_equiv_pos_as_xyz
'x,y,z'
loop_
_atom_site_label
_atom_site_fract_x
_atom_site_fract_y
_atom_site_fract_z
Tl1 0.2486 0.2486 0.2458
Tl2 0.7514 0.7514 0.7542
Ru1 0.5000 0.5000 0.0000
Pt1 0.0000 0.0000 0.5000
```

=====

<x>
This record from Alexandria via LeMat-Bulk describes crystalline Tl2RuPt at its relaxed geometry. The functional is PBE.

Structure (CIF):
```
data_Tl2RuPt
_cell_length_a 3.6996
_cell_length_b 4.2910
_cell_length_c 5.4582
_cell_angle_alpha 90.00
_cell_angle_beta 109.72
_cell_angle_gamma 90.00
_symmetry_space_group_name_H-M 'P 1'
_symmetry_Int_Tables_number 1
loop_
_symmetry_equiv_pos_as_xyz
'x,y,z'
loop_
_atom_site_label
_atom_site_fract_x
_atom_site_fract_y
_atom_site_fract_z
Tl1 0.0000 0.0000 0.0000
Tl2 0.2929 0.5000 0.5902
Ru1 0.7227 0.0000 0.4499
Pt1 0.5734 0.5000 0.1458
```

=====

<y>
This record from Alexandria via LeMat-Bulk describes crystalline Tl2RuPt at its relaxed geometry. The functional is PBE.

Structure (CIF):
```
data_Tl2RuPt
_cell_length_a 4.5273
_cell_length_b 4.5273
_cell_length_c 3.6554
_cell_angle_alpha 90.00
_cell_angle_beta 90.00
_cell_angle_gamma 90.00
_symmetry_space_group_name_H-M 'P 1'
_symmetry_Int_Tables_number 1
loop_
_symmetry_equiv_pos_as_xyz
'x,y,z'
loop_
_atom_site_label
_atom_site_fract_x
_atom_site_fract_y
_atom_site_fract_z
Tl1 0.0000 0.5000 0.0000
Tl2 0.5000 0.0000 0.0000
Ru1 0.0000 0.0000 0.5000
Pt1 0.5000 0.5000 0.5000
```

=====

Most stable one: <y>, least stable one: <w>.